This record from Alexandria via LeMat-Bulk describes a geometry-optimized MgSc2Zn3 structure. The functional is PBE-GGA.

Values from the calculation:
E above lowest polymorph   0.000 eV/atom
D(E_F)   7.3 states/eV per cell
Energy of formation from the pure elements   -0.33 eV/atom
Mass density   4.7 Mg/m³
E_tot   -20.04 eV/f.u.

The structure in CIF format:
```
data_MgSc2Zn3
_cell_length_a 4.6800
_cell_length_b 4.6800
_cell_length_c 11.5393
_cell_angle_alpha 90.00
_cell_angle_beta 90.00
_cell_angle_gamma 120.00
_space_group_name_H-M_alt 'P -3 m 1'
_space_group_IT_number 164
_space_group_name_Hall '-P 3 2"'
loop_
_atom_site_label
_atom_site_type_symbol
_atom_site_fract_x
_atom_site_fract_y
_atom_site_fract_z
Mg1 Mg 0.3333 0.6667 0.1657
Sc1 Sc 0.0000 0.0000 0.0000
Sc2 Sc 0.0000 0.0000 0.5000
Sc3 Sc 0.3333 0.6667 0.6719
Zn1 Zn 0.0000 0.0000 0.2499
Zn2 Zn 0.3333 0.6667 0.4185
Zn3 Zn 0.3333 0.6667 0.9188
```